Record 1
The following is a DFT calculation (meta-GGA SCAN) of MgTlTe4 at its PBEsol-relaxed geometry.

Computed properties:
The density of states at the Fermi level comes out at 18.63 states/eV per cell. The calculation puts the electronic total energy at -2.75740 Ry/atom.

Cell: 9.0474 9.0474 9.0474 Å, 90.00 90.00 90.00°
Space group F-43m (No. 216)
Symmetry-distinct sites (fractional):
Mg: 0.0000 0.0000 0.0000 (multiplicity 4)
Tl: 0.2500 0.2500 0.2500 (multiplicity 4)
Te: 0.1256 0.1256 0.6256 (multiplicity 16)



Record 2
The following is a DFT calculation (meta-GGA SCAN) of LiIrCl2 at its PBEsol-relaxed geometry.

Computed properties:
The density of states at the Fermi level comes out at 4.99 states/eV per cell. Its energy above the lowest structure with this stoichiometry is 0 kJ/mol of formula units.

Cell: 6.7687 6.7981 3.0619 Å, 90.00 90.00 90.00°
Space group Cmmm (No. 65)
Symmetry-distinct sites (fractional):
Li: 0.0000 0.0000 0.0000 (multiplicity 2)
Ir: 0.0000 0.5000 0.0000 (multiplicity 2)
Cl: 0.2500 0.2500 0.0000 (multiplicity 4)